This record from Alexandria via LeMat-Bulk describes Y2Ho5Er after structural relaxation. The functional is PBE.

Cell: 7.069 14.139 4.991 Å, 90.00 90.00 90.00°
Fractional coordinates of all 16 atoms:
1 Y 0.249 0.125 0.000
2 Y 0.251 0.625 0.000
3 Y 0.749 0.375 0.000
4 Y 0.751 0.875 0.000
5 Ho 0.000 0.500 0.500
6 Ho 0.001 0.750 0.500
7 Ho 0.249 0.375 0.000
8 Ho 0.251 0.875 0.000
9 Ho 0.499 0.250 0.500
10 Ho 0.500 0.000 0.500
11 Ho 0.501 0.750 0.500
12 Ho 0.749 0.125 0.000
13 Ho 0.751 0.625 0.000
14 Ho 0.999 0.250 0.500
15 Er 0.000 0.000 0.500
16 Er 0.500 0.500 0.500

Summary:
**Formation enthalpy at 0 K**: 0.16 eV per formula unit
**Calculated density**: 7.79 g/cm³
**Symmetry**: Pbam, No. 55
**Magnetization**: 0.0 Bohr magnetons per cell
**Distance to the lowest polymorph of the same formula**: 0.0 meV/atom



This record from Alexandria via LeMat-Bulk describes Y2Ho2Er15 after structural relaxation. The functional is PBE.

Cell: 8.649 8.649 8.649 Å, 79.51 79.51 79.51°
Fractional coordinates of all 19 atoms:
1 Y 0.099 0.099 0.099
2 Y 0.901 0.901 0.901
3 Ho 0.322 0.322 0.322
4 Ho 0.678 0.678 0.678
5 Er 0.000 0.000 0.500
6 Er 0.000 0.301 0.699
7 Er 0.000 0.500 0.000
8 Er 0.000 0.699 0.301
9 Er 0.149 0.631 0.631
10 Er 0.301 0.000 0.699
11 Er 0.301 0.699 0.000
12 Er 0.369 0.369 0.851
13 Er 0.369 0.851 0.369
14 Er 0.500 0.000 0.000
15 Er 0.631 0.149 0.631
16 Er 0.631 0.631 0.149
17 Er 0.699 0.000 0.301
18 Er 0.699 0.301 0.000
19 Er 0.851 0.369 0.369

Summary:
**Formation enthalpy at 0 K**: 5.56 eV per formula unit
**Calculated density**: 8.10 g/cm³
**Symmetry**: R-3m, No. 166
**Magnetization**: 0.0 Bohr magnetons per cell



This record from Alexandria via LeMat-Bulk describes YHoEr4 after structural relaxation. The functional is PBE.

Cell: 6.512 6.512 6.512 Å, 60.00 60.00 60.00°
Fractional coordinates of all 6 atoms:
1 Y 0.000 0.000 0.000
2 Ho 0.750 0.750 0.750
3 Er 0.375 0.375 0.375
4 Er 0.375 0.375 0.875
5 Er 0.375 0.875 0.375
6 Er 0.875 0.375 0.375

Summary:
**Formation enthalpy at 0 K**: 1.52 eV per formula unit
**Calculated density**: 7.85 g/cm³
**Symmetry**: F-43m, No. 216
**Magnetization**: 0.6 Bohr magnetons per cell
**Distance to the lowest polymorph of the same formula**: 231.4 meV/atom



This record from Alexandria via LeMat-Bulk describes Y7Ho12Er after structural relaxation. The functional is PBE.

Cell: 8.658 8.658 8.658 Å, 95.01 95.01 95.01°
Fractional coordinates of all 20 atoms:
1 Y 0.000 0.000 0.000
2 Y 0.150 0.483 0.418
3 Y 0.418 0.150 0.483
4 Y 0.483 0.418 0.150
5 Y 0.517 0.582 0.850
6 Y 0.582 0.850 0.517
7 Y 0.850 0.517 0.582
8 Ho 0.021 0.354 0.085
9 Ho 0.085 0.021 0.354
10 Ho 0.183 0.312 0.751
11 Ho 0.249 0.817 0.688
12 Ho 0.312 0.751 0.183
13 Ho 0.354 0.085 0.021
14 Ho 0.646 0.915 0.979
15 Ho 0.688 0.249 0.817
16 Ho 0.751 0.183 0.312
17 Ho 0.817 0.688 0.249
18 Ho 0.915 0.979 0.646
19 Ho 0.979 0.646 0.915
20 Er 0.500 0.500 0.500

Summary:
**Formation enthalpy at 0 K**: 6.13 eV per formula unit
**Calculated density**: 7.17 g/cm³
**Symmetry**: R-3, No. 148
**Magnetization**: 0.0 Bohr magnetons per cell
**Distance to the lowest polymorph of the same formula**: 0.0 meV/atom



This record from Alexandria via LeMat-Bulk describes Y5HoEr6 after structural relaxation. The functional is PBE.

Cell: 6.119 6.119 11.722 Å, 94.98 94.98 119.92°
Fractional coordinates of all 12 atoms:
1 Y 0.000 0.000 0.000
2 Y 0.167 0.833 0.500
3 Y 0.333 0.667 0.000
4 Y 0.667 0.333 0.000
5 Y 0.833 0.167 0.500
6 Ho 0.500 0.500 0.500
7 Er 0.085 0.417 0.250
8 Er 0.250 0.250 0.749
9 Er 0.417 0.085 0.250
10 Er 0.583 0.915 0.750
11 Er 0.750 0.750 0.251
12 Er 0.915 0.583 0.750

Summary:
**Formation enthalpy at 0 K**: 0.31 eV per formula unit
**Calculated density**: 7.15 g/cm³
**Symmetry**: C2/m, No. 12
**Magnetization**: 0.0 Bohr magnetons per cell



This record from Alexandria via LeMat-Bulk describes YHoEr4 after structural relaxation. The functional is PBE.

Cell: 3.523 6.090 9.302 Å, 77.45 79.14 73.29°
Fractional coordinates of all 6 atoms:
1 Y 0.000 0.000 0.000
2 Ho 0.000 0.500 0.500
3 Er 0.333 0.502 0.832
4 Er 0.333 0.999 0.335
5 Er 0.667 0.001 0.665
6 Er 0.667 0.498 0.168

Summary:
**Formation enthalpy at 0 K**: 0.13 eV per formula unit
**Calculated density**: 8.29 g/cm³
**Symmetry**: P-1, No. 2
**Magnetization**: 0.0 Bohr magnetons per cell
**Distance to the lowest polymorph of the same formula**: 0.0 meV/atom